[1]
Rb2FeSnI6: optimized geometry, PBE-GGA.

abc: 8.4410 8.4410 8.4410
angles: 60.00 60.00 60.00
Atoms (fractional coordinates):
Rb (0.2500, 0.2500, 0.2500)
Rb (0.7500, 0.7500, 0.7500)
Fe (0.0000, 0.0000, 0.0000)
Sn (0.5000, 0.5000, 0.5000)
I (0.2374, 0.2374, 0.7626)
I (0.2374, 0.7626, 0.2374)
I (0.2374, 0.7626, 0.7626)
I (0.7626, 0.2374, 0.2374)
I (0.7626, 0.2374, 0.7626)
I (0.7626, 0.7626, 0.2374)

## Properties
- Energy: -30.841 eV/cell

=====

[2]
RbSrFe2I8: optimized geometry, PBE-GGA.

abc: 7.5517 7.5517 11.1447
angles: 90.00 90.00 120.00
Atoms (fractional coordinates):
Rb (0.0000, 0.0000, 0.0000)
Sr (0.0000, 0.0000, 0.5000)
Fe (0.3333, 0.6667, 0.7578)
Fe (0.6667, 0.3333, 0.2422)
I (0.0010, 0.3417, 0.6863)
I (0.3333, 0.6667, 0.9865)
I (0.3406, 0.9990, 0.6863)
I (0.3417, 0.3406, 0.3137)
I (0.6583, 0.6594, 0.6863)
I (0.6594, 0.0010, 0.3137)
I (0.6667, 0.3333, 0.0135)
I (0.9990, 0.6583, 0.3137)

## Properties
- Energy: -40.935 eV/cell

=====

[3]
Rb2TaFeI6: optimized geometry, PBE-GGA.

abc: 8.1044 8.1044 8.1044
angles: 60.00 60.00 60.00
Atoms (fractional coordinates):
Rb (0.2500, 0.2500, 0.2500)
Rb (0.7500, 0.7500, 0.7500)
Ta (0.0000, 0.0000, 0.0000)
Fe (0.5000, 0.5000, 0.5000)
I (0.2502, 0.2502, 0.7498)
I (0.2502, 0.7498, 0.2502)
I (0.2502, 0.7498, 0.7498)
I (0.7498, 0.2502, 0.2502)
I (0.7498, 0.2502, 0.7498)
I (0.7498, 0.7498, 0.2502)

## Properties
- Energy: -36.293 eV/cell